A plane-wave DFT calculation with PBE was carried out for an optimized crystal structure of Pr4NpAs5.

```
Pr4NpAs5
1.0
-4.769 4.769 3.017
4.769 -4.769 3.017
4.769 4.769 -3.017
Pr Np As
4 1 5
direct
0.098 0.699 0.797 Pr
0.301 0.098 0.398 Pr
0.699 0.902 0.602 Pr
0.902 0.301 0.203 Pr
0.500 0.500 0.000 Np
0.000 0.000 0.000 As
0.210 0.404 0.613 As
0.404 0.790 0.194 As
0.596 0.210 0.806 As
0.790 0.596 0.387 As
```

**Formation energy**: -1.325 eV/atom
**Fermi-level density of states**: 1.190 states/eV/atom
**Size of the total moment**: 3.69 Bohr magnetons per cell